Here is PrVN3 after structural relaxation from Alexandria via LeMat-Bulk. Energies are from PBE-GGA.

abc: 3.8942 3.8942 3.8942
angles: 90.00 90.00 90.00
With the nearest neighbours (Å) after each atom.
Atoms (fractional coordinates):
Pr  0.0000  0.0000  0.0000  12 N 2.75
V  0.5000  0.5000  0.5000  6 N 1.95
N  0.0000  0.5000  0.5000  2 V 1.95
N  0.5000  0.0000  0.5000  2 V 1.95
N  0.5000  0.5000  0.0000  2 V 1.95

Summary:
**Formation energy without anion corrections**: -0.7779 eV/atom
**Symmetry**: Pm-3m